Entry 1:
Density functional theory data (PBE) for crystalline Nd4GaHg at its relaxed geometry.

Unit cell a=6.2724 b=6.2724 c=8.9841 alpha=106.39 beta=106.39 gamma=34.27
Closest atoms and distances in Å follow each position.
Fractional coordinates of all 6 atoms:
Nd 0.0000 0.0000 0.0000  3 Ga 3.14-3.49, 1 Hg 3.17
Nd 0.2606 0.2606 0.7214  2 Ga 3.07, 1 Nd 3.22, 1 Hg 3.39
Nd 0.5015 0.5015 0.6310  1 Ga 3.21, 2 Hg 3.22, 3 Nd 3.22-3.50
Nd 0.7654 0.7654 0.3216  1 Ga 3.11, 3 Hg 3.24-3.39
Ga 0.7012 0.7012 0.9598  6 Nd 3.07-3.21
Hg 0.0562 0.0562 0.3681  7 Nd 3.17-3.39

**V**: 31.689 A^3/atom
**ΔE to the lowest computed polymorph**: 0.00 eV per formula unit

---

Entry 2:
Density functional theory data (PBE) for crystalline Sr3CrAs3 at its relaxed geometry.

Unit cell a=10.2073 b=10.2073 c=12.7616 alpha=90.00 beta=90.00 gamma=37.77
Closest atoms and distances in Å follow each position.
Fractional coordinates of all 28 atoms:
Sr 0.0121 0.6334 0.1309  6 As 3.20-3.51, 1 Cr 3.24
Sr 0.1334 0.5121 0.6309  6 As 3.20-3.51, 1 Cr 3.24
Sr 0.1706 0.8294 0.8441  5 As 3.09-3.33, 2 Cr 3.33
Sr 0.3294 0.6706 0.3441  5 As 3.09-3.33, 2 Cr 3.33
Sr 0.3666 0.9879 0.1309  6 As 3.20-3.51, 1 Cr 3.24
Sr 0.4879 0.8666 0.6309  6 As 3.20-3.51, 1 Cr 3.24
Sr 0.5121 0.1334 0.3691  6 As 3.20-3.51, 1 Cr 3.24
Sr 0.6334 0.0121 0.8691  6 As 3.20-3.51, 1 Cr 3.24
Sr 0.6706 0.3294 0.6559  5 As 3.09-3.33, 2 Cr 3.33
Sr 0.8294 0.1706 0.1559  5 As 3.09-3.33, 2 Cr 3.33
Sr 0.8666 0.4879 0.3691  6 As 3.20-3.51, 1 Cr 3.24
Sr 0.9879 0.3666 0.8691  6 As 3.20-3.51, 1 Cr 3.24
Cr 0.0802 0.0802 0.5000  4 As 2.45-2.48
Cr 0.4198 0.4198 0.0000  4 As 2.45-2.48
Cr 0.5802 0.5802 0.0000  4 As 2.45-2.48
Cr 0.9198 0.9198 0.5000  4 As 2.45-2.48
As 0.0378 0.6472 0.3820  1 Cr 2.48
As 0.1472 0.5378 0.8820  1 Cr 2.48
As 0.2156 0.7844 0.5986  2 Cr 2.45
As 0.2844 0.7156 0.0986  2 Cr 2.45
As 0.3528 0.9622 0.3820  1 Cr 2.48
As 0.4622 0.8528 0.8820  1 Cr 2.48
As 0.5378 0.1472 0.1180  1 Cr 2.48
As 0.6472 0.0378 0.6180  1 Cr 2.48
As 0.7156 0.2844 0.9014  2 Cr 2.45
As 0.7844 0.2156 0.4014  2 Cr 2.45
As 0.8528 0.4622 0.1180  1 Cr 2.48
As 0.9622 0.3528 0.6180  1 Cr 2.48

**Total energy**: -4.96 eV/atom
**V**: 29.082 A^3/atom

---

Entry 3:
Density functional theory data (PBE) for crystalline Ho8NiOs2 at its relaxed geometry.

Unit cell a=7.4892 b=7.4892 c=5.8112 alpha=100.35 beta=100.35 gamma=111.22
Closest atoms and distances in Å follow each position.
Fractional coordinates of all 11 atoms:
Ho 0.0000 0.0000 0.0000  2 Os 2.94, 1 Ni 3.09
Ho 0.0308 0.2929 0.5887  2 Os 2.78-2.82, 1 Ni 2.96
Ho 0.1498 0.5775 0.1974  1 Ni 2.80, 1 Os 3.10
Ho 0.2929 0.0308 0.5887  2 Os 2.78-2.82, 1 Ni 2.96
Ho 0.4435 0.7066 0.7923  2 Os 2.77-2.82, 1 Ni 3.08
Ho 0.5775 0.1498 0.1974  1 Ni 2.80, 1 Os 3.10
Ho 0.7066 0.4435 0.7923  2 Os 2.77-2.82, 1 Ni 3.08
Ho 0.7268 0.7268 0.3895  2 Os 2.94, 1 Ni 3.04
Ni 0.3605 0.3605 0.3542  8 Ho 2.80-3.09
Os 0.0574 0.6800 0.6913  7 Ho 2.77-3.10
Os 0.6800 0.0574 0.6913  7 Ho 2.77-3.10

**Total energy**: -6.06 eV/atom
**V**: 26.187 A^3/atom

---

- Among the records above, which one has the lowest V?
  Ho8NiOs2

---

- What is the V in the first record?
  31.689 A^3/atom

---

Please write out number 1 again, unchanged.
Density functional theory data (PBE) for crystalline Nd4GaHg at its relaxed geometry.

Unit cell a=6.2724 b=6.2724 c=8.9841 alpha=106.39 beta=106.39 gamma=34.27
Closest atoms and distances in Å follow each position.
Fractional coordinates of all 6 atoms:
Nd 0.0000 0.0000 0.0000  3 Ga 3.14-3.49, 1 Hg 3.17
Nd 0.2606 0.2606 0.7214  2 Ga 3.07, 1 Nd 3.22, 1 Hg 3.39
Nd 0.5015 0.5015 0.6310  1 Ga 3.21, 2 Hg 3.22, 3 Nd 3.22-3.50
Nd 0.7654 0.7654 0.3216  1 Ga 3.11, 3 Hg 3.24-3.39
Ga 0.7012 0.7012 0.9598  6 Nd 3.07-3.21
Hg 0.0562 0.0562 0.3681  7 Nd 3.17-3.39

**V**: 31.689 A^3/atom
**ΔE to the lowest computed polymorph**: 0.00 eV per formula unit